[1]
# LaZnPt | Alexandria | PBE | optimized geometry
data_LaZnPt
_chemical_formula_sum 'La1 Zn1 Pt1'
_space_group_name_H-M_alt 'P 1'
_space_group_IT_number 1
_cell_length_a 4.4680
_cell_length_b 4.4680
_cell_length_c 3.9403
_cell_angle_alpha 90.00
_cell_angle_beta 90.00
_cell_angle_gamma 120.00
loop_
_space_group_symop_operation_xyz
'x,y,z'
loop_
_atom_site_label
_atom_site_fract_x
_atom_site_fract_y
_atom_site_fract_z
La1 0.0000 0.0000 0.0000
Zn1 0.3333 0.6667 0.5000
Pt1 0.6667 0.3333 0.5000
# Uncorrected energy, eV for the cell shown: -14.9
# Space-group type: P-6m2 (187)
# Total magnetization, μB/f.u.: 0.0
# D(E_F), states/eV/atom: 0.769
# ρ, g/cm³: 9.74
# ΔH_f (0 K), eV/f.u.: -2.63

[2]
# SnGe2Se3 | Alexandria | PBE | optimized geometry
data_SnGe2Se3
_chemical_formula_sum 'Sn2 Ge4 Se6'
_space_group_name_H-M_alt 'P 1'
_space_group_IT_number 1
_cell_length_a 7.3001
_cell_length_b 3.9497
_cell_length_c 11.5262
_cell_angle_alpha 90.00
_cell_angle_beta 103.14
_cell_angle_gamma 90.00
loop_
_space_group_symop_operation_xyz
'x,y,z'
loop_
_atom_site_label
_atom_site_fract_x
_atom_site_fract_y
_atom_site_fract_z
Sn1 0.0071 0.2500 0.2879
Sn2 0.9929 0.7500 0.7121
Ge1 0.2565 0.2500 0.9786
Ge2 0.4734 0.2500 0.6302
Ge3 0.5266 0.7500 0.3698
Ge4 0.7435 0.7500 0.0214
Se1 0.1187 0.7500 0.1502
Se2 0.2803 0.7500 0.5052
Se3 0.3674 0.7500 0.8558
Se4 0.6326 0.2500 0.1442
Se5 0.7197 0.2500 0.4948
Se6 0.8813 0.2500 0.8498
# Uncorrected energy, eV for the cell shown: -50.1
# Formation energy without anion corrections, meV/atom: -230.1
# Space-group type: P2_1/m (11)
# Total magnetization, μB/f.u.: 0.0
# D(E_F), states/eV/atom: 0.009
# ρ, g/cm³: 5.14

[3]
# BC2 | Alexandria | PBE | optimized geometry
data_BC2
_chemical_formula_sum 'B4 C8'
_space_group_name_H-M_alt 'P 1'
_space_group_IT_number 1
_cell_length_a 4.4621
_cell_length_b 4.4621
_cell_length_c 7.9726
_cell_angle_alpha 118.76
_cell_angle_beta 118.76
_cell_angle_gamma 34.85
loop_
_space_group_symop_operation_xyz
'x,y,z'
loop_
_atom_site_label
_atom_site_fract_x
_atom_site_fract_y
_atom_site_fract_z
B1 0.0098 0.0098 0.2012
B2 0.2982 0.2982 0.8608
B3 0.7018 0.7018 0.1392
B4 0.9902 0.9902 0.7988
C1 0.1117 0.1117 0.0304
C2 0.1961 0.1961 0.6314
C3 0.3999 0.3999 0.4796
C4 0.4072 0.4072 0.6792
C5 0.5928 0.5928 0.3208
C6 0.6001 0.6001 0.5204
C7 0.8039 0.8039 0.3686
C8 0.8883 0.8883 0.9696
# Uncorrected energy, eV for the cell shown: -96.4
# Space-group type: C2/m (12)
# Total magnetization, μB/f.u.: 0.0
# D(E_F), states/eV/atom: 0.010
# ρ, g/cm³: 2.95
# ΔH_f (0 K), eV/f.u.: 1.04

[4]
# In2PtSe | Alexandria | PBE | optimized geometry
data_In2PtSe
_chemical_formula_sum 'In2 Pt1 Se1'
_space_group_name_H-M_alt 'P 1'
_space_group_IT_number 1
_cell_length_a 4.2293
_cell_length_b 5.1776
_cell_length_c 5.1776
_cell_angle_alpha 61.39
_cell_angle_beta 90.00
_cell_angle_gamma 90.00
loop_
_space_group_symop_operation_xyz
'x,y,z'
loop_
_atom_site_label
_atom_site_fract_x
_atom_site_fract_y
_atom_site_fract_z
In1 0.0000 0.0000 0.0000
In2 0.5000 0.3532 0.3532
Pt1 0.0000 0.5405 0.5405
Se1 0.5000 0.7221 0.7221
# Uncorrected energy, eV for the cell shown: -16.3
# Formation energy without anion corrections, meV/atom: -324.9
# Space-group type: Amm2 (38)
# Total magnetization, μB/f.u.: 0.0
# D(E_F), states/eV/atom: 0.310
# ρ, g/cm³: 8.40

[5]
# PrMn2C3 | Alexandria | PBE | optimized geometry
data_PrMn2C3
_chemical_formula_sum 'Pr2 Mn4 C6'
_space_group_name_H-M_alt 'P 1'
_space_group_IT_number 1
_cell_length_a 5.7848
_cell_length_b 5.7848
_cell_length_c 4.9167
_cell_angle_alpha 90.00
_cell_angle_beta 90.00
_cell_angle_gamma 110.49
loop_
_space_group_symop_operation_xyz
'x,y,z'
loop_
_atom_site_label
_atom_site_fract_x
_atom_site_fract_y
_atom_site_fract_z
Pr1 0.2087 0.7913 0.7500
Pr2 0.7913 0.2087 0.2500
Mn1 0.3106 0.3106 0.0000
Mn2 0.3106 0.3106 0.5000
Mn3 0.6894 0.6894 0.0000
Mn4 0.6894 0.6894 0.5000
C1 0.0342 0.1790 0.7500
C2 0.1790 0.0342 0.2500
C3 0.4182 0.5818 0.2500
C4 0.5818 0.4182 0.7500
C5 0.8210 0.9658 0.7500
C6 0.9658 0.8210 0.2500
# Uncorrected energy, eV for the cell shown: -101.9
# Space-group type: Cmcm (63)
# Total magnetization, μB/f.u.: 2.6
# D(E_F), states/eV/atom: 0.578
# ρ, g/cm³: 6.18
# ΔH_f (0 K), eV/f.u.: -0.17

[6]
# RbNaV2Cl8 | Alexandria | PBE | optimized geometry
data_RbNaV2Cl8
_chemical_formula_sum 'Rb1 Na1 V2 Cl8'
_space_group_name_H-M_alt 'P 1'
_space_group_IT_number 1
_cell_length_a 6.7209
_cell_length_b 6.7209
_cell_length_c 9.7510
_cell_angle_alpha 90.00
_cell_angle_beta 90.00
_cell_angle_gamma 120.00
loop_
_space_group_symop_operation_xyz
'x,y,z'
loop_
_atom_site_label
_atom_site_fract_x
_atom_site_fract_y
_atom_site_fract_z
Rb1 0.0000 0.0000 0.0000
Na1 0.0000 0.0000 0.5000
V1 0.3333 0.6667 0.7532
V2 0.6667 0.3333 0.2468
Cl1 0.0253 0.3372 0.6874
Cl2 0.3119 0.9747 0.6874
Cl3 0.3333 0.6667 0.9815
Cl4 0.3372 0.3119 0.3126
Cl5 0.6628 0.6881 0.6874
Cl6 0.6667 0.3333 0.0185
Cl7 0.6881 0.0253 0.3126
Cl8 0.9747 0.6628 0.3126
# Uncorrected energy, eV for the cell shown: -52.2
# Formation energy without anion corrections, meV/atom: -1409.4
# Space-group type: P-3 (147)
# Total magnetization, μB/f.u.: 4.0
# ρ, g/cm³: 2.15

[7]
# TbHo3Hg4 | Alexandria | PBE | optimized geometry
data_TbHo3Hg4
_chemical_formula_sum 'Tb1 Ho3 Hg4'
_space_group_name_H-M_alt 'P 1'
_space_group_IT_number 1
_cell_length_a 5.2288
_cell_length_b 5.2288
_cell_length_c 7.4965
_cell_angle_alpha 90.00
_cell_angle_beta 90.00
_cell_angle_gamma 90.00
loop_
_space_group_symop_operation_xyz
'x,y,z'
loop_
_atom_site_label
_atom_site_fract_x
_atom_site_fract_y
_atom_site_fract_z
Tb1 0.0000 0.0000 0.0000
Ho1 0.0000 0.0000 0.5000
Ho2 0.5000 0.5000 0.0000
Ho3 0.5000 0.5000 0.5000
Hg1 0.0000 0.5000 0.2524
Hg2 0.0000 0.5000 0.7476
Hg3 0.5000 0.0000 0.2524
Hg4 0.5000 0.0000 0.7476
# Uncorrected energy, eV for the cell shown: -23.4
# Space-group type: P4/mmm (123)
# Total magnetization, μB/f.u.: 0.0
# D(E_F), states/eV/atom: 0.966
# ρ, g/cm³: 11.80
# ΔH_f (0 K), eV/f.u.: -3.85

[8]
# FePbC2 | Alexandria | PBE | optimized geometry
data_FePbC2
_chemical_formula_sum 'Fe2 Pb2 C4'
_space_group_name_H-M_alt 'P 1'
_space_group_IT_number 1
_cell_length_a 5.8510
_cell_length_b 5.8510
_cell_length_c 5.8510
_cell_angle_alpha 128.31
_cell_angle_beta 128.31
_cell_angle_gamma 76.12
loop_
_space_group_symop_operation_xyz
'x,y,z'
loop_
_atom_site_label
_atom_site_fract_x
_atom_site_fract_y
_atom_site_fract_z
Fe1 0.0000 0.0000 0.0000
Fe2 0.7500 0.2500 0.5000
Pb1 0.2500 0.7500 0.5000
Pb2 0.5000 0.5000 0.0000
C1 0.3750 0.2289 0.3539
C2 0.7711 0.1250 0.1461
C3 0.8750 0.0211 0.6461
C4 0.9789 0.6250 0.8539
# Uncorrected energy, eV for the cell shown: -52.8
# Space-group type: I-42d (122)
# Total magnetization, μB/f.u.: 0.0
# D(E_F), states/eV/atom: 0.290
# ρ, g/cm³: 7.95
# ΔH_f (0 K), eV/f.u.: 4.20

[9]
# ThCd2PdAu2 | Alexandria | PBE | optimized geometry
data_ThCd2PdAu2
_chemical_formula_sum 'Th1 Cd2 Pd1 Au2'
_space_group_name_H-M_alt 'P 1'
_space_group_IT_number 1
_cell_length_a 10.1571
_cell_length_b 10.1571
_cell_length_c 10.1571
_cell_angle_alpha 156.36
_cell_angle_beta 156.36
_cell_angle_gamma 33.68
loop_
_space_group_symop_operation_xyz
'x,y,z'
loop_
_atom_site_label
_atom_site_fract_x
_atom_site_fract_y
_atom_site_fract_z
Th1 0.0000 0.0000 0.0000
Cd1 0.2500 0.7500 0.5000
Cd2 0.7500 0.2500 0.5000
Pd1 0.5000 0.5000 0.0000
Au1 0.1482 0.1482 0.0000
Au2 0.8518 0.8518 0.0000
# Uncorrected energy, eV for the cell shown: -20.7
# Space-group type: I4/mmm (139)
# Total magnetization, μB/f.u.: 0.0
# D(E_F), states/eV/atom: 0.470
# ρ, g/cm³: 9.44
# ΔH_f (0 K), eV/f.u.: 0.33

[10]
# Ho2CuTeS3 | Alexandria | PBE | optimized geometry
data_Ho2CuTeS3
_chemical_formula_sum 'Ho4 Cu2 Te2 S6'
_space_group_name_H-M_alt 'P 1'
_space_group_IT_number 1
_cell_length_a 7.9907
_cell_length_b 7.9907
_cell_length_c 7.9907
_cell_angle_alpha 58.32
_cell_angle_beta 58.32
_cell_angle_gamma 58.32
loop_
_space_group_symop_operation_xyz
'x,y,z'
loop_
_atom_site_label
_atom_site_fract_x
_atom_site_fract_y
_atom_site_fract_z
Ho1 0.0000 0.0000 0.0000
Ho2 0.0000 0.0000 0.5000
Ho3 0.0000 0.5000 0.0000
Ho4 0.5000 0.0000 0.0000
Cu1 0.4010 0.4010 0.4010
Cu2 0.5990 0.5990 0.5990
Te1 0.2684 0.2684 0.2684
Te2 0.7316 0.7316 0.7316
S1 0.2347 0.7520 0.7520
S2 0.2480 0.2480 0.7653
S3 0.2480 0.7653 0.2480
S4 0.7520 0.2347 0.7520
S5 0.7520 0.7520 0.2347
S6 0.7653 0.2480 0.2480
# Uncorrected energy, eV for the cell shown: -75.7
# Formation energy without anion corrections, meV/atom: -1298.6
# Space-group type: R-3m (166)
# Total magnetization, μB/f.u.: 0.0
# D(E_F), states/eV/atom: 0.557
# ρ, g/cm³: 5.91

[11]
# ZrTeRh2 | Alexandria | PBE | optimized geometry
data_ZrTeRh2
_chemical_formula_sum 'Zr1 Te1 Rh2'
_space_group_name_H-M_alt 'P 1'
_space_group_IT_number 1
_cell_length_a 3.3255
_cell_length_b 3.7047
_cell_length_c 5.9441
_cell_angle_alpha 90.00
_cell_angle_beta 90.00
_cell_angle_gamma 90.00
loop_
_space_group_symop_operation_xyz
'x,y,z'
loop_
_atom_site_label
_atom_site_fract_x
_atom_site_fract_y
_atom_site_fract_z
Zr1 0.0000 0.0000 0.0000
Te1 0.0000 0.0000 0.5000
Rh1 0.5000 0.5000 0.2375
Rh2 0.5000 0.5000 0.7625
# Uncorrected energy, eV for the cell shown: -28.4
# Formation energy without anion corrections, meV/atom: -510.0
# Space-group type: Pmmm (47)
# Total magnetization, μB/f.u.: 0.0
# D(E_F), states/eV/atom: 1.016
# ρ, g/cm³: 9.63

[12]
# BaBe2SeO8 | Alexandria | PBE | optimized geometry
data_BaBe2SeO8
_chemical_formula_sum 'Ba1 Be2 Se1 O8'
_space_group_name_H-M_alt 'P 1'
_space_group_IT_number 1
_cell_length_a 4.8572
_cell_length_b 4.8572
_cell_length_c 7.3184
_cell_angle_alpha 90.00
_cell_angle_beta 90.00
_cell_angle_gamma 120.00
loop_
_space_group_symop_operation_xyz
'x,y,z'
loop_
_atom_site_label
_atom_site_fract_x
_atom_site_fract_y
_atom_site_fract_z
Ba1 0.0000 0.0000 0.0000
Be1 0.3333 0.6667 0.6904
Be2 0.6667 0.3333 0.3096
Se1 0.0000 0.0000 0.5000
O1 0.0383 0.3168 0.6451
O2 0.2785 0.9617 0.6451
O3 0.3168 0.2785 0.3549
O4 0.3333 0.6667 0.9160
O5 0.6667 0.3333 0.0840
O6 0.6832 0.7215 0.6451
O7 0.7215 0.0383 0.3549
O8 0.9617 0.6832 0.3549
# Uncorrected energy, eV for the cell shown: -66.8
# Formation energy without anion corrections, meV/atom: -1192.7
# Space-group type: P-3 (147)
# Total magnetization, μB/f.u.: 4.0
# D(E_F), states/eV/atom: 0.543
# ρ, g/cm³: 4.02